V8P2C: optimized geometry, PBE.

Summary:
* VASP energy: -8.83 eV/atom
* size of the total moment: 0.000 Bohr magnetons per cell
* formation enthalpy at 0 K: -0.38 eV/atom
* space-group type: C2/m, No. 12

```
V8P2C
1.0
6.863 -2.049 0.000
6.863 2.049 0.000
-1.724 0.000 4.762
V P C
8 2 1
Direct
0.001 0.001 0.238 V
0.218 0.218 0.117 V
0.361 0.361 0.730 V
0.414 0.414 0.293 V
0.586 0.586 0.707 V
0.639 0.639 0.270 V
0.782 0.782 0.883 V
0.999 0.999 0.762 V
0.166 0.166 0.609 P
0.834 0.834 0.391 P
0.500 0.500 0.000 C
```

=====

V4P2C: optimized geometry, PBE.

Summary:
* VASP energy: -8.81 eV/atom
* size of the total moment: 0.000 Bohr magnetons per cell
* formation enthalpy at 0 K: -0.74 eV/atom
* space-group type: Pbam, No. 55
* ΔE to the lowest computed polymorph: 37 meV/atom

```
V4P2C
1.0
6.068 0.000 0.000
0.000 9.123 0.000
0.000 0.000 3.092
V P C
8 4 2
Direct
0.131 0.201 0.000 V
0.198 0.933 0.500 V
0.302 0.433 0.500 V
0.369 0.701 0.000 V
0.631 0.299 0.000 V
0.698 0.567 0.500 V
0.802 0.067 0.500 V
0.869 0.799 0.000 V
0.074 0.655 0.500 P
0.426 0.155 0.500 P
0.574 0.845 0.500 P
0.926 0.345 0.500 P
0.000 0.000 0.000 C
0.500 0.500 0.000 C
```

=====

V2PC: optimized geometry, PBE.

Summary:
* VASP energy: -8.91 eV/atom
* size of the total moment: 0.000 Bohr magnetons per cell
* formation enthalpy at 0 K: -0.69 eV/atom
* space-group type: P6_3/mmc, No. 194
* ΔE to the lowest computed polymorph: 0 meV/atom

```
V2PC
1.0
3.074 0.000 0.000
-1.537 2.662 0.000
0.000 0.000 10.903
V P C
4 2 2
Direct
0.333 0.667 0.098 V
0.333 0.667 0.402 V
0.667 0.333 0.598 V
0.667 0.333 0.902 V
0.333 0.667 0.750 P
0.667 0.333 0.250 P
0.000 0.000 0.000 C
0.000 0.000 0.500 C
```

=====

VPC3: optimized geometry, PBE.

Summary:
* VASP energy: -6.65 eV/atom
* size of the total moment: 1.882 Bohr magnetons per cell
* formation enthalpy at 0 K: 1.79 eV/atom
* space-group type: Pm-3m, No. 221
* ΔE to the lowest computed polymorph: 0 meV/atom

```
VPC3
1.0
3.602 0.000 0.000
0.000 3.602 0.000
0.000 0.000 3.602
V P C
1 1 3
Direct
0.000 0.000 0.000 V
0.500 0.500 0.500 P
0.000 0.500 0.500 C
0.500 0.000 0.500 C
0.500 0.500 0.000 C
```

=====

VP3C: optimized geometry, PBE.

Summary:
* VASP energy: -5.97 eV/atom
* size of the total moment: 1.974 Bohr magnetons per cell
* formation enthalpy at 0 K: 0.95 eV/atom
* space-group type: Pm-3m, No. 221
* ΔE to the lowest computed polymorph: 0 meV/atom

```
VP3C
1.0
3.995 0.000 0.000
0.000 3.995 0.000
0.000 0.000 3.995
V P C
1 3 1
Direct
0.000 0.000 0.000 V
0.000 0.500 0.500 P
0.500 0.000 0.500 P
0.500 0.500 0.000 P
0.500 0.500 0.500 C
```

=====

V3PC: optimized geometry, PBE.

Summary:
* VASP energy: -9.10 eV/atom
* size of the total moment: 0.000 Bohr magnetons per cell
* formation enthalpy at 0 K: -0.70 eV/atom
* space-group type: Pnma, No. 62

```
V3PC
1.0
6.649 0.000 0.000
0.000 3.084 0.000
0.000 0.000 10.985
V P C
12 4 4
Direct
0.021 0.250 0.106 V
0.161 0.250 0.514 V
0.197 0.750 0.289 V
0.303 0.250 0.789 V
0.339 0.750 0.014 V
0.479 0.750 0.606 V
0.521 0.250 0.394 V
0.661 0.250 0.986 V
0.697 0.750 0.211 V
0.803 0.250 0.711 V
0.839 0.750 0.486 V
0.979 0.750 0.894 V
0.085 0.750 0.676 P
0.415 0.250 0.176 P
0.585 0.750 0.824 P
0.915 0.250 0.324 P
0.160 0.250 0.945 C
0.340 0.750 0.445 C
0.660 0.250 0.555 C
0.840 0.750 0.055 C
```

=====

- Which formula does entry 3 have?
  V2PC

=====

- What is the VASP energy in the first record?
  -8.83 eV/atom